A:
# YOsO2

An optimized crystal structure of YOsO2 (PBE, Alexandria via LeMat-Bulk).

Structure (CIF):
```
data_YOsO2
_cell_length_a 4.285
_cell_length_b 4.285
_cell_length_c 12.501
_cell_angle_alpha 90.00
_cell_angle_beta 90.00
_cell_angle_gamma 90.00
_symmetry_space_group_name_H-M 'I -4 2 d'
_symmetry_Int_Tables_number 122
_symmetry_space_group_name_Hall 'I -4 2bw'
loop_
_atom_site_label
_atom_site_type_symbol
_atom_site_fract_x
_atom_site_fract_y
_atom_site_fract_z
Y1 Y 0.000 0.000 0.000
Os1 Os 0.000 0.000 0.500
O1 O 0.199 0.250 0.625
```

Computed properties:
crystal system	tetragonal
N(E_F)	7.8	states/eV/cell



B:
# YOsO2

An optimized crystal structure of YOsO2 (PBE, Alexandria via LeMat-Bulk).

Structure (CIF):
```
data_YOsO2
_cell_length_a 3.4980
_cell_length_b 3.4980
_cell_length_c 16.5223
_cell_angle_alpha 90.00
_cell_angle_beta 90.00
_cell_angle_gamma 120.00
_symmetry_space_group_name_H-M 'R -3 m'
_symmetry_Int_Tables_number 166
_symmetry_space_group_name_Hall '-R 3 2"'
loop_
_atom_site_label
_atom_site_type_symbol
_atom_site_fract_x
_atom_site_fract_y
_atom_site_fract_z
Y1 Y 0.0000 0.0000 0.0000
Os1 Os 0.0000 0.0000 0.5000
O1 O 0.0000 0.0000 0.1307
```

Computed properties:
crystal system	trigonal
N(E_F)	4.9	states/eV/cell



C:
# YOsO2

An optimized crystal structure of YOsO2 (PBE, Alexandria via LeMat-Bulk).

Structure (CIF):
```
data_YOsO2
_cell_length_a 3.3273
_cell_length_b 3.3273
_cell_length_c 18.7860
_cell_angle_alpha 90.00
_cell_angle_beta 90.00
_cell_angle_gamma 120.00
_symmetry_space_group_name_H-M 'R -3 m'
_symmetry_Int_Tables_number 166
_symmetry_space_group_name_Hall '-R 3 2"'
loop_
_atom_site_label
_atom_site_type_symbol
_atom_site_fract_x
_atom_site_fract_y
_atom_site_fract_z
Y1 Y 0.0000 0.0000 0.0000
Os1 Os 0.0000 0.0000 0.5000
O1 O 0.0000 0.0000 0.3932
```

Computed properties:
crystal system	trigonal
N(E_F)	7.7	states/eV/cell



D:
# YOsO2

An optimized crystal structure of YOsO2 (PBE, Alexandria via LeMat-Bulk).

Structure (CIF):
```
data_YOsO2
_cell_length_a 5.843
_cell_length_b 5.843
_cell_length_c 5.843
_cell_angle_alpha 90.00
_cell_angle_beta 90.00
_cell_angle_gamma 90.00
_symmetry_space_group_name_H-M 'F m -3 m'
_symmetry_Int_Tables_number 225
_symmetry_space_group_name_Hall '-F 4 2 3'
loop_
_atom_site_label
_atom_site_type_symbol
_atom_site_fract_x
_atom_site_fract_y
_atom_site_fract_z
Y1 Y 0.000 0.000 0.000
Os1 Os 0.000 0.000 0.500
O1 O 0.250 0.250 0.250
```

Computed properties:
crystal system	cubic
N(E_F)	11.2	states/eV/cell



Which of them is the most stable? Correct choice: C.



A:
# YOsO4

An optimized crystal structure of YOsO4 (PBE, Alexandria via LeMat-Bulk).

Structure (CIF):
```
data_YOsO4
_cell_length_a 7.713
_cell_length_b 5.346
_cell_length_c 7.407
_cell_angle_alpha 90.00
_cell_angle_beta 99.85
_cell_angle_gamma 90.00
_symmetry_space_group_name_H-M 'P 1 21/c 1'
_symmetry_Int_Tables_number 14
loop_
_symmetry_equiv_pos_as_xyz
'x,y,z'
'-x,-y,-z'
'-x,y+1/2,-z+1/2'
'x,-y+1/2,z+1/2'
loop_
_atom_site_label
_atom_site_type_symbol
_atom_site_fract_x
_atom_site_fract_y
_atom_site_fract_z
Y1 Y 0.147 0.215 0.392
Os1 Os 0.340 0.729 0.203
O1 O 0.113 0.524 0.177
O2 O 0.189 0.015 0.121
O3 O 0.332 0.630 0.947
O4 O 0.449 0.080 0.802
```

Computed properties:
crystal system	monoclinic
N(E_F)	9.5	states/eV/cell



B:
# YOsO4

An optimized crystal structure of YOsO4 (PBE, Alexandria via LeMat-Bulk).

Structure (CIF):
```
data_YOsO4
_cell_length_a 7.340
_cell_length_b 10.077
_cell_length_c 6.831
_cell_angle_alpha 90.00
_cell_angle_beta 90.00
_cell_angle_gamma 90.00
_symmetry_space_group_name_H-M 'C m c m'
_symmetry_Int_Tables_number 63
_symmetry_space_group_name_Hall '-C 2c 2'
loop_
_atom_site_label
_atom_site_type_symbol
_atom_site_fract_x
_atom_site_fract_y
_atom_site_fract_z
Y1 Y 0.000 0.070 0.250
Os1 Os 0.000 0.272 0.750
O1 O 0.000 0.123 0.574
O2 O 0.204 0.368 0.750
```

Computed properties:
crystal system	orthorhombic
N(E_F)	5.2	states/eV/cell



Which of them is the most stable? Correct choice: A.



A:
# YOs3O

An optimized crystal structure of YOs3O (PBE, Alexandria via LeMat-Bulk).

Structure (CIF):
```
data_YOs3O
_cell_length_a 4.223
_cell_length_b 4.223
_cell_length_c 4.223
_cell_angle_alpha 90.00
_cell_angle_beta 90.00
_cell_angle_gamma 90.00
_symmetry_space_group_name_H-M 'P m -3 m'
_symmetry_Int_Tables_number 221
_symmetry_space_group_name_Hall '-P 4 2 3'
loop_
_atom_site_label
_atom_site_type_symbol
_atom_site_fract_x
_atom_site_fract_y
_atom_site_fract_z
Y1 Y 0.000 0.000 0.000
Os1 Os 0.000 0.500 0.500
O1 O 0.500 0.500 0.500
```

Computed properties:
crystal system	cubic
N(E_F)	3.1	states/eV/cell



B:
# YOs3O

An optimized crystal structure of YOs3O (PBE, Alexandria via LeMat-Bulk).

Structure (CIF):
```
data_YOs3O
_cell_length_a 5.017
_cell_length_b 5.017
_cell_length_c 5.017
_cell_angle_alpha 90.00
_cell_angle_beta 90.00
_cell_angle_gamma 90.00
_symmetry_space_group_name_H-M 'P m -3 m'
_symmetry_Int_Tables_number 221
_symmetry_space_group_name_Hall '-P 4 2 3'
loop_
_atom_site_label
_atom_site_type_symbol
_atom_site_fract_x
_atom_site_fract_y
_atom_site_fract_z
Y1 Y 0.000 0.000 0.000
Os1 Os 0.000 0.000 0.500
O1 O 0.500 0.500 0.500
```

Computed properties:
crystal system	cubic
N(E_F)	4.8	states/eV/cell



Which of them is the most stable? Correct choice: A.



A:
# ZnOs2O2

An optimized crystal structure of ZnOs2O2 (PBE, Alexandria via LeMat-Bulk).

Structure (CIF):
```
data_ZnOs2O2
_cell_length_a 3.322
_cell_length_b 3.322
_cell_length_c 10.653
_cell_angle_alpha 90.00
_cell_angle_beta 90.00
_cell_angle_gamma 90.00
_symmetry_space_group_name_H-M 'I 4/m m m'
_symmetry_Int_Tables_number 139
_symmetry_space_group_name_Hall '-I 4 2'
loop_
_atom_site_label
_atom_site_type_symbol
_atom_site_fract_x
_atom_site_fract_y
_atom_site_fract_z
Zn1 Zn 0.000 0.000 0.000
Os1 Os 0.000 0.000 0.378
O1 O 0.000 0.500 0.250
```

Computed properties:
crystal system	tetragonal
N(E_F)	6.9	states/eV/cell



B:
# ZnOs2O2

An optimized crystal structure of ZnOs2O2 (PBE, Alexandria via LeMat-Bulk).

Structure (CIF):
```
data_ZnOs2O2
_cell_length_a 7.337
_cell_length_b 7.337
_cell_length_c 2.664
_cell_angle_alpha 90.00
_cell_angle_beta 90.00
_cell_angle_gamma 90.00
_symmetry_space_group_name_H-M 'P 4/m b m'
_symmetry_Int_Tables_number 127
_symmetry_space_group_name_Hall '-P 4 2ab'
loop_
_atom_site_label
_atom_site_type_symbol
_atom_site_fract_x
_atom_site_fract_y
_atom_site_fract_z
Zn1 Zn 0.000 0.000 0.000
Os1 Os 0.117 0.383 0.000
O1 O 0.243 0.743 0.500
```

Computed properties:
crystal system	tetragonal
N(E_F)	8.3	states/eV/cell



Which of them is the most stable? Correct choice: A.



A:
# ZnOs2O

An optimized crystal structure of ZnOs2O (PBE, Alexandria via LeMat-Bulk).

Structure (CIF):
```
data_ZnOs2O
_cell_length_a 6.501
_cell_length_b 6.501
_cell_length_c 5.029
_cell_angle_alpha 90.00
_cell_angle_beta 90.00
_cell_angle_gamma 90.00
_symmetry_space_group_name_H-M 'I -4 2 d'
_symmetry_Int_Tables_number 122
_symmetry_space_group_name_Hall 'I -4 2bw'
loop_
_atom_site_label
_atom_site_type_symbol
_atom_site_fract_x
_atom_site_fract_y
_atom_site_fract_z
Zn1 Zn 0.000 0.000 0.000
Os1 Os 0.162 0.250 0.625
O1 O 0.000 0.000 0.500
```

Computed properties:
crystal system	tetragonal
N(E_F)	12.0	states/eV/cell



B:
# ZnOs2O

An optimized crystal structure of ZnOs2O (PBE, Alexandria via LeMat-Bulk).

Structure (CIF):
```
data_ZnOs2O
_cell_length_a 5.863
_cell_length_b 5.863
_cell_length_c 5.863
_cell_angle_alpha 90.00
_cell_angle_beta 90.00
_cell_angle_gamma 90.00
_symmetry_space_group_name_H-M 'F m -3 m'
_symmetry_Int_Tables_number 225
_symmetry_space_group_name_Hall '-F 4 2 3'
loop_
_atom_site_label
_atom_site_type_symbol
_atom_site_fract_x
_atom_site_fract_y
_atom_site_fract_z
Zn1 Zn 0.000 0.000 0.000
Os1 Os 0.250 0.250 0.250
O1 O 0.000 0.000 0.500
```

Computed properties:
crystal system	cubic
N(E_F)	20.8	states/eV/cell



Which of them is the most stable? Correct choice: A.



A:
# Zn3OsO

An optimized crystal structure of Zn3OsO (PBE, Alexandria via LeMat-Bulk).

Structure (CIF):
```
data_Zn3OsO
_cell_length_a 4.850
_cell_length_b 4.850
_cell_length_c 4.850
_cell_angle_alpha 90.00
_cell_angle_beta 90.00
_cell_angle_gamma 90.00
_symmetry_space_group_name_H-M 'P m -3 m'
_symmetry_Int_Tables_number 221
_symmetry_space_group_name_Hall '-P 4 2 3'
loop_
_atom_site_label
_atom_site_type_symbol
_atom_site_fract_x
_atom_site_fract_y
_atom_site_fract_z
Zn1 Zn 0.000 0.000 0.500
Os1 Os 0.000 0.000 0.000
O1 O 0.500 0.500 0.500
```

Computed properties:
crystal system	cubic
N(E_F)	5.8	states/eV/cell



B:
# Zn3OsO

An optimized crystal structure of Zn3OsO (PBE, Alexandria via LeMat-Bulk).

Structure (CIF):
```
data_Zn3OsO
_cell_length_a 4.075
_cell_length_b 4.075
_cell_length_c 4.075
_cell_angle_alpha 90.00
_cell_angle_beta 90.00
_cell_angle_gamma 90.00
_symmetry_space_group_name_H-M 'P m -3 m'
_symmetry_Int_Tables_number 221
_symmetry_space_group_name_Hall '-P 4 2 3'
loop_
_atom_site_label
_atom_site_type_symbol
_atom_site_fract_x
_atom_site_fract_y
_atom_site_fract_z
Zn1 Zn 0.000 0.000 0.500
Os1 Os 0.500 0.500 0.500
O1 O 0.000 0.000 0.000
```

Computed properties:
crystal system	cubic
N(E_F)	1.3	states/eV/cell



Which of them is the most stable? Correct choice: B.



A:
# ZrOs3O

An optimized crystal structure of ZrOs3O (PBE, Alexandria via LeMat-Bulk).

Structure (CIF):
```
data_ZrOs3O
_cell_length_a 4.159
_cell_length_b 4.159
_cell_length_c 4.159
_cell_angle_alpha 90.00
_cell_angle_beta 90.00
_cell_angle_gamma 90.00
_symmetry_space_group_name_H-M 'P m -3 m'
_symmetry_Int_Tables_number 221
_symmetry_space_group_name_Hall '-P 4 2 3'
loop_
_atom_site_label
_atom_site_type_symbol
_atom_site_fract_x
_atom_site_fract_y
_atom_site_fract_z
Zr1 Zr 0.000 0.000 0.000
Os1 Os 0.000 0.500 0.500
O1 O 0.500 0.500 0.500
```

Computed properties:
crystal system	cubic
N(E_F)	3.1	states/eV/cell



B:
# ZrOs3O

An optimized crystal structure of ZrOs3O (PBE, Alexandria via LeMat-Bulk).

Structure (CIF):
```
data_ZrOs3O
_cell_length_a 4.904
_cell_length_b 4.904
_cell_length_c 4.904
_cell_angle_alpha 90.00
_cell_angle_beta 90.00
_cell_angle_gamma 90.00
_symmetry_space_group_name_H-M 'P m -3 m'
_symmetry_Int_Tables_number 221
_symmetry_space_group_name_Hall '-P 4 2 3'
loop_
_atom_site_label
_atom_site_type_symbol
_atom_site_fract_x
_atom_site_fract_y
_atom_site_fract_z
Zr1 Zr 0.000 0.000 0.000
Os1 Os 0.000 0.000 0.500
O1 O 0.500 0.500 0.500
```

Computed properties:
crystal system	cubic
N(E_F)	4.8	states/eV/cell



Which of them is the most stable? Correct choice: A.



A:
# P2O5

An optimized crystal structure of P2O5 (PBE, Alexandria via LeMat-Bulk).

Structure (CIF):
```
data_P2O5
_cell_length_a 10.8678
_cell_length_b 10.8678
_cell_length_c 13.9174
_cell_angle_alpha 90.00
_cell_angle_beta 90.00
_cell_angle_gamma 120.00
_symmetry_space_group_name_H-M 'R 3 c'
_symmetry_Int_Tables_number 161
_symmetry_space_group_name_Hall 'R 3 -2"c'
loop_
_atom_site_label
_atom_site_type_symbol
_atom_site_fract_x
_atom_site_fract_y
_atom_site_fract_z
P1 P 0.0000 0.0000 0.9997
P2 P 0.1631 0.0295 0.3333
O1 O 0.0000 0.0000 0.1038
O2 O 0.0264 0.1453 0.8010
O3 O 0.0879 0.3672 0.9654
O4 O 0.1456 0.0274 0.4490
```

Computed properties:
crystal system	trigonal
N(E_F)	0.0	states/eV/cell



B:
# P2O5

An optimized crystal structure of P2O5 (PBE, Alexandria via LeMat-Bulk).

Structure (CIF):
```
data_P2O5
_cell_length_a 9.646
_cell_length_b 4.940
_cell_length_c 7.401
_cell_angle_alpha 90.00
_cell_angle_beta 90.00
_cell_angle_gamma 90.00
_symmetry_space_group_name_H-M 'P n m a'
_symmetry_Int_Tables_number 62
loop_
_symmetry_equiv_pos_as_xyz
'x,y,z'
'-x,-y,-z'
'-x+1/2,-y,z+1/2'
'x+1/2,y,-z+1/2'
'x+1/2,-y+1/2,-z+1/2'
'-x+1/2,y+1/2,z+1/2'
'-x,y+1/2,-z'
'x,-y+1/2,z'
loop_
_atom_site_label
_atom_site_type_symbol
_atom_site_fract_x
_atom_site_fract_y
_atom_site_fract_z
P1 P 0.106 0.250 0.148
P2 P 0.249 0.250 0.783
O1 O 0.040 0.750 0.906
O2 O 0.132 0.250 0.659
O3 O 0.147 0.001 0.272
O4 O 0.223 0.250 0.996
```

Computed properties:
crystal system	orthorhombic
N(E_F)	0.0	states/eV/cell



Which of them is the most stable? Correct choice: B.



A:
# P2O5

An optimized crystal structure of P2O5 (PBE, Alexandria via LeMat-Bulk).

Structure (CIF):
```
data_P2O5
_cell_length_a 8.6200
_cell_length_b 8.6200
_cell_length_c 19.9813
_cell_angle_alpha 90.00
_cell_angle_beta 90.00
_cell_angle_gamma 120.00
_symmetry_space_group_name_H-M 'R 3 c'
_symmetry_Int_Tables_number 161
_symmetry_space_group_name_Hall 'R 3 -2"c'
loop_
_atom_site_label
_atom_site_type_symbol
_atom_site_fract_x
_atom_site_fract_y
_atom_site_fract_z
P1 P 0.0000 0.0000 0.0000
P2 P 0.0532 0.1985 0.2054
O1 O 0.0000 0.0000 0.2623
O2 O 0.0701 0.3494 0.1428
O3 O 0.1882 0.4691 0.3388
O4 O 0.1891 0.0800 0.9545
```

Computed properties:
crystal system	trigonal
N(E_F)	0.6	states/eV/cell



B:
# P2O5

An optimized crystal structure of P2O5 (PBE, Alexandria via LeMat-Bulk).

Structure (CIF):
```
data_P2O5
_cell_length_a 3.095
_cell_length_b 3.269
_cell_length_c 5.920
_cell_angle_alpha 90.00
_cell_angle_beta 90.00
_cell_angle_gamma 90.00
_symmetry_space_group_name_H-M 'P m m m'
_symmetry_Int_Tables_number 47
loop_
_symmetry_equiv_pos_as_xyz
'x,y,z'
'-x,-y,-z'
'-x,-y,z'
'x,y,-z'
'x,-y,-z'
'-x,y,z'
'-x,y,-z'
'x,-y,z'
loop_
_atom_site_label
_atom_site_type_symbol
_atom_site_fract_x
_atom_site_fract_y
_atom_site_fract_z
P1 P 0.000 0.000 0.000
P2 P 0.500 0.000 0.500
O1 O 0.000 0.000 0.310
O2 O 0.000 0.500 0.000
O3 O 0.500 0.000 0.000
O4 O 0.500 0.500 0.500
```

Computed properties:
crystal system	orthorhombic
N(E_F)	1.1	states/eV/cell



Which of them is the most stable? Correct choice: B.



A:
# PaPO6

An optimized crystal structure of PaPO6 (PBE, Alexandria via LeMat-Bulk).

Structure (CIF):
```
data_PaPO6
_cell_length_a 6.5200
_cell_length_b 6.5200
_cell_length_c 6.3086
_cell_angle_alpha 90.00
_cell_angle_beta 90.00
_cell_angle_gamma 120.00
_symmetry_space_group_name_H-M 'R -3 m'
_symmetry_Int_Tables_number 166
_symmetry_space_group_name_Hall '-R 3 2"'
loop_
_atom_site_label
_atom_site_type_symbol
_atom_site_fract_x
_atom_site_fract_y
_atom_site_fract_z
Pa1 Pa 0.0000 0.0000 0.0000
P1 P 0.0000 0.0000 0.5000
O1 O 0.1001 0.5501 0.3329
```

Computed properties:
crystal system	trigonal
N(E_F)	12.8	states/eV/cell



B:
# PaPO6

An optimized crystal structure of PaPO6 (PBE, Alexandria via LeMat-Bulk).

Structure (CIF):
```
data_PaPO6
_cell_length_a 4.976
_cell_length_b 8.904
_cell_length_c 4.826
_cell_angle_alpha 90.00
_cell_angle_beta 103.38
_cell_angle_gamma 90.00
_symmetry_space_group_name_H-M 'C 1 2/m 1'
_symmetry_Int_Tables_number 12
loop_
_symmetry_equiv_pos_as_xyz
'x,y,z'
'-x,-y,-z'
'-x,y,-z'
'x,-y,z'
'x+1/2,y+1/2,z'
'-x+1/2,-y+1/2,-z'
'-x+1/2,y+1/2,-z'
'x+1/2,-y+1/2,z'
loop_
_atom_site_label
_atom_site_type_symbol
_atom_site_fract_x
_atom_site_fract_y
_atom_site_fract_z
Pa1 Pa 0.000 0.000 0.000
P1 P 0.000 0.500 0.500
O1 O 0.190 0.366 0.712
O2 O 0.228 0.500 0.292
```

Computed properties:
crystal system	monoclinic
N(E_F)	9.6	states/eV/cell



Which of them is the most stable? Correct choice: A.